# Mg2In3

A relaxed Mg2In3 crystal (GGA-PBEsol, Alexandria).

Structure (POSCAR):
```
Mg2In3
1.0
3.351 0.000 0.000
1.676 2.902 0.000
1.676 0.967 12.034
Mg In
2 3
Direct
0.399 0.399 0.802
0.601 0.601 0.198
0.201 0.201 0.397
0.000 0.000 0.000
0.799 0.799 0.603
```

Computed properties:
The value obtained for the formation energy is -77 meV/atom. The symmetry is R-3m (166). As for the energy: -12.77 eV per cell.


# LaCoPO2

A relaxed LaCoPO2 crystal (GGA-PBEsol, Alexandria).

Structure (POSCAR):
```
LaCoPO2
1.0
4.089 0.000 0.000
0.000 4.089 0.000
0.000 0.000 6.377
P O Co La
1 2 1 1
Direct
0.000 0.000 0.500
0.500 0.000 0.000
0.000 0.500 0.000
0.500 0.500 0.500
0.000 0.000 0.000
```

Computed properties:
The symmetry is P4/mmm (123). The value obtained for the raw formation energy is -0.176 eV per atom. As for the energy: -30.25 eV per cell.


# Cd2SiO4

A relaxed Cd2SiO4 crystal (GGA-PBEsol, Alexandria).

Structure (POSCAR):
```
Cd2SiO4
1.0
-1.063 -3.412 -4.525
-0.693 -2.292 5.245
-4.796 4.601 -0.346
O Cd Si
8 4 2
Direct
0.915 0.625 0.352
0.875 0.665 0.852
0.375 0.085 0.648
0.813 0.023 0.148
0.273 0.563 0.648
0.335 0.125 0.148
0.977 0.187 0.852
0.437 0.727 0.352
0.685 0.315 0.000
0.935 0.065 0.500
0.565 0.435 0.500
0.315 0.685 0.000
0.250 0.750 0.500
0.000 0.000 0.000
```

Computed properties:
The symmetry is Fddd (70). The value obtained for the raw formation energy is -1.837 eV per atom. As for the energy: -83.99 eV per cell.


# BeSeF2

A relaxed BeSeF2 crystal (GGA-PBEsol, Alexandria).

Structure (POSCAR):
```
BeSeF2
1.0
-0.582 -0.722 5.073
-2.963 -3.849 1.734
2.159 -4.087 2.287
F Be Se
4 2 2
Direct
0.125 0.125 0.625
0.625 0.125 0.125
0.125 0.625 0.125
0.125 0.125 0.125
0.000 0.000 0.000
0.250 0.250 0.250
0.500 0.500 0.500
0.750 0.750 0.750
```

Computed properties:
The symmetry is Fd-3m (227). The value obtained for the raw formation energy is -1.936 eV per atom. As for the energy: -38.90 eV per cell.


# Dy2Sc3Si4

A relaxed Dy2Sc3Si4 crystal (GGA-PBEsol, Alexandria).

Structure (POSCAR):
```
Dy2Sc3Si4
1.0
-5.262 -1.735 -4.303
4.670 -0.237 -5.615
2.351 -13.378 2.520
Dy Sc Si
8 12 16
Direct
0.989 0.824 0.096
0.489 0.676 0.096
0.511 0.324 0.904
0.011 0.176 0.904
0.511 0.324 0.596
0.989 0.824 0.404
0.011 0.176 0.596
0.489 0.676 0.404
0.663 0.997 0.250
0.169 0.676 0.625
0.163 0.503 0.250
0.337 0.003 0.750
0.831 0.324 0.125
0.169 0.676 0.875
0.669 0.824 0.875
0.837 0.497 0.750
0.331 0.176 0.375
0.331 0.176 0.125
0.669 0.824 0.625
0.831 0.324 0.375
0.842 0.535 0.961
0.342 0.965 0.539
0.714 0.128 0.750
0.286 0.872 0.250
0.158 0.465 0.461
0.158 0.465 0.039
0.466 0.614 0.750
0.658 0.035 0.461
0.214 0.372 0.750
0.786 0.628 0.250
0.034 0.114 0.250
0.342 0.965 0.961
0.658 0.035 0.039
0.534 0.386 0.250
0.966 0.886 0.750
0.842 0.535 0.539
```

Computed properties:
The symmetry is Pnma (62). The value obtained for the raw formation energy is -0.889 eV per atom. As for the energy: -243.05 eV per cell.


# ZnCrTe2

A relaxed ZnCrTe2 crystal (GGA-PBEsol, Alexandria).

Structure (POSCAR):
```
ZnCrTe2
1.0
-3.235 -1.208 -1.972
-2.258 -2.918 1.482
-6.214 3.998 3.736
Te Cr Zn
2 1 1
Direct
0.108 0.108 0.677
0.892 0.892 0.323
0.500 0.500 0.500
0.000 0.000 0.000
```

Computed properties:
The symmetry is R-3m (166). The value obtained for the raw formation energy is 0.119 eV per atom. As for the energy: -18.40 eV per cell.


# CdPt2Pb

A relaxed CdPt2Pb crystal (GGA-PBEsol, Alexandria).

Structure (POSCAR):
```
CdPt2Pb
1.0
4.346 0.000 0.000
-2.173 4.416 -0.593
0.000 -1.631 4.030
Cd Pb Pt
1 1 2
Direct
0.000 0.000 0.500
0.500 0.000 0.000
0.250 0.500 0.249
0.750 0.500 0.751
```

Computed properties:
The value obtained for the formation energy is -59 meV/atom. The symmetry is C2/m (12). As for the energy: -19.36 eV per cell.


# NaZrIn2

A relaxed NaZrIn2 crystal (GGA-PBEsol, Alexandria).

Structure (POSCAR):
```
NaZrIn2
1.0
5.020 0.000 0.000
2.510 4.347 0.000
2.510 1.449 4.099
Zr Na In
1 1 2
Direct
0.500 0.500 0.500
0.000 0.000 0.000
0.750 0.750 0.750
0.250 0.250 0.250
```

Computed properties:
The value obtained for the formation energy is -14 meV/atom. The symmetry is Fm-3m (225). As for the energy: -16.51 eV per cell.